The following is a DFT calculation (PBE) of Rb2SI6Br after structural relaxation.

Geometry as CIF:
```
data_Rb2SI6Br
_cell_length_a 8.257
_cell_length_b 8.257
_cell_length_c 8.583
_cell_angle_alpha 61.25
_cell_angle_beta 61.25
_cell_angle_gamma 90.00
_symmetry_space_group_name_H-M 'P 1'
_symmetry_Int_Tables_number 1
_symmetry_space_group_name_Hall 'P 1'
loop_
_atom_site_label
_atom_site_type_symbol
_atom_site_fract_x
_atom_site_fract_y
_atom_site_fract_z
I1 I 0.281 0.281 0.439
I2 I 0.719 0.719 0.561
I3 I 0.260 0.260 0.000
I4 I 0.740 0.740 0.000
I5 I 0.740 0.260 0.000
I6 I 0.260 0.740 0.000
S1 S 0.500 0.500 0.000
Br1 Br 0.000 0.000 0.000
Rb1 Rb 0.750 0.250 0.500
Rb2 Rb 0.250 0.750 0.500
```

Results
The magnetic moment comes out at 0.001 μB per cell. The formation energy (no corrections) comes out at -0.49 eV per atom.